[1]
CsH4Pd PBE-GGA relaxed; M_tot = 0.000 μB/f.u.; calculated total energy = -39.56 eV for the cell shown; density = 4.02 Mg/m³; space group = C2/m (12); D(E_F) = 1.4 states/eV/cell; calculated volume = 201.25 Å³/cell
1.0
6.862 -3.203 0.000
6.862 3.203 0.000
-1.460 0.000 4.578
Cs H Pd
2 8 2
Direct
0.173 0.173 0.112
0.827 0.827 0.888
0.261 0.552 0.424
0.318 0.682 0.000
0.325 0.325 0.746
0.448 0.739 0.576
0.552 0.261 0.424
0.675 0.675 0.254
0.682 0.318 0.000
0.739 0.448 0.576
0.443 0.443 0.702
0.557 0.557 0.298

[2]
Cs3H4Pd2 PBE-GGA relaxed; M_tot = 0.000 μB/f.u.; calculated total energy = -55.99 eV for the cell shown; density = 4.69 Mg/m³; space group = C2/c (15); D(E_F) = 3.8 states/eV/cell; polymorph energy (0 for the lowest one) = 0.0 meV per atom; calculated volume = 436.33 Å³/cell
1.0
5.250 -6.659 0.000
5.250 6.659 0.000
-2.408 0.000 6.241
Cs H Pd
6 8 4
Direct
0.077 0.923 0.750
0.256 0.518 0.429
0.482 0.744 0.071
0.518 0.256 0.929
0.744 0.482 0.571
0.923 0.077 0.250
0.097 0.605 0.990
0.172 0.305 0.720
0.305 0.172 0.220
0.395 0.903 0.510
0.605 0.097 0.490
0.695 0.828 0.780
0.828 0.695 0.280
0.903 0.395 0.010
0.055 0.384 0.867
0.384 0.055 0.367
0.616 0.945 0.633
0.945 0.616 0.133

[3]
CsHPd2 PBE-GGA relaxed; M_tot = 0.000 μB/f.u.; calculated total energy = -30.37 eV for the cell shown; density = 7.48 Mg/m³; space group = I4_1/amd (141); D(E_F) = 0.0 states/eV/cell; polymorph energy (0 for the lowest one) = 0.0 meV per atom; calculated volume = 153.95 Å³/cell
1.0
-3.009 3.009 4.251
3.009 -3.009 4.251
3.009 3.009 -4.251
Cs H Pd
2 2 4
Direct
0.375 0.625 0.750
0.625 0.375 0.250
0.125 0.875 0.250
0.875 0.125 0.750
0.000 0.000 0.000
0.000 0.000 0.500
0.000 0.500 0.000
0.500 0.000 0.500

[4]
CsH4Pd2 PBE-GGA relaxed; M_tot = 0.000 μB/f.u.; calculated total energy = -51.25 eV for the cell shown; density = 4.29 Mg/m³; space group = C2/c (15); D(E_F) = 4.8 states/eV/cell; calculated volume = 270.66 Å³/cell
1.0
3.807 -3.743 0.000
3.807 3.743 0.000
-3.797 0.000 9.499
Cs H Pd
2 8 4
Direct
0.125 0.875 0.750
0.875 0.125 0.250
0.263 0.717 0.032
0.269 0.315 0.032
0.283 0.737 0.468
0.315 0.269 0.532
0.685 0.731 0.468
0.717 0.263 0.532
0.731 0.685 0.968
0.737 0.283 0.968
0.000 0.500 0.000
0.500 0.000 0.500
0.500 0.500 0.000
0.500 0.500 0.500

[5]
CsH2Pd2 PBE-GGA relaxed; M_tot = 0.000 μB/f.u.; calculated total energy = -18.83 eV for the cell shown; density = 6.28 Mg/m³; space group = I4/mmm (139); D(E_F) = 0.8 states/eV/cell; polymorph energy (0 for the lowest one) = 0.0 meV per atom; calculated volume = 91.96 Å³/cell
1.0
-1.942 1.942 6.093
1.942 -1.942 6.093
1.942 1.942 -6.093
Cs H Pd
1 2 2
Direct
0.000 0.000 0.000
0.250 0.750 0.500
0.750 0.250 0.500
0.261 0.261 0.000
0.739 0.739 0.000

[6]
Cs3H3Pd PBE-GGA relaxed; M_tot = 0.000 μB/f.u.; calculated total energy = -38.06 eV for the cell shown; density = 3.81 Mg/m³; space group = P6_3/m (176); polymorph energy (0 for the lowest one) = 0.0 meV per atom; calculated volume = 442.46 Å³/cell
1.0
9.254 0.000 0.000
-4.627 8.014 0.000
0.000 0.000 5.966
Cs H Pd
6 6 2
Direct
0.095 0.395 0.250
0.300 0.905 0.250
0.395 0.300 0.750
0.605 0.700 0.250
0.700 0.095 0.750
0.905 0.605 0.750
0.164 0.460 0.750
0.295 0.836 0.750
0.460 0.295 0.250
0.540 0.705 0.750
0.705 0.164 0.250
0.836 0.540 0.250
0.333 0.667 0.750
0.667 0.333 0.250

[7]
Cs12H5Pd3 PBE-GGA relaxed; M_tot = 0.000 μB/f.u.; calculated total energy = -171.44 eV for the cell shown; density = 3.51 Mg/m³; space group = Ia-3d (230); D(E_F) = 31.7 states/eV/cell; calculated volume = 3627.26 Å³/cell
1.0
-9.679 9.679 9.679
9.679 -9.679 9.679
9.679 9.679 -9.679
Cs H Pd
48 20 12
Direct
0.033 0.210 0.129
0.033 0.323 0.903
0.080 0.710 0.677
0.080 0.871 0.403
0.097 0.629 0.420
0.097 0.967 0.677
0.129 0.033 0.210
0.129 0.597 0.920
0.177 0.210 0.580
0.177 0.467 0.597
0.210 0.129 0.033
0.210 0.580 0.177
0.290 0.323 0.920
0.290 0.467 0.371
0.323 0.903 0.033
0.323 0.920 0.290
0.371 0.290 0.467
0.371 0.580 0.903
0.403 0.080 0.871
0.403 0.823 0.533
0.420 0.097 0.629
0.420 0.823 0.790
0.467 0.371 0.290
0.467 0.597 0.177
0.533 0.403 0.823
0.533 0.629 0.710
0.580 0.177 0.210
0.580 0.903 0.371
0.597 0.177 0.467
0.597 0.920 0.129
0.629 0.420 0.097
0.629 0.710 0.533
0.677 0.080 0.710
0.677 0.097 0.967
0.710 0.533 0.629
0.710 0.677 0.080
0.790 0.420 0.823
0.790 0.871 0.967
0.823 0.533 0.403
0.823 0.790 0.420
0.871 0.403 0.080
0.871 0.967 0.790
0.903 0.033 0.323
0.903 0.371 0.580
0.920 0.129 0.597
0.920 0.290 0.323
0.967 0.677 0.097
0.967 0.790 0.871
0.000 0.000 0.000
0.000 0.000 0.500
0.000 0.500 0.000
0.000 0.500 0.500
0.125 0.750 0.875
0.125 0.875 0.250
0.250 0.125 0.875
0.250 0.625 0.375
0.375 0.250 0.625
0.375 0.625 0.750
0.500 0.000 0.000
0.500 0.000 0.500
0.500 0.500 0.000
0.500 0.500 0.500
0.625 0.375 0.250
0.625 0.750 0.375
0.750 0.375 0.625
0.750 0.875 0.125
0.875 0.125 0.750
0.875 0.250 0.125
0.125 0.250 0.375
0.125 0.375 0.750
0.250 0.375 0.125
0.250 0.875 0.625
0.375 0.125 0.250
0.375 0.750 0.125
0.625 0.250 0.875
0.625 0.875 0.750
0.750 0.125 0.375
0.750 0.625 0.875
0.875 0.625 0.250
0.875 0.750 0.625

[8]
Cs2H2Pd PBE-GGA relaxed; M_tot = 0.000 μB/f.u.; calculated total energy = -59.61 eV for the cell shown; density = 3.81 Mg/m³; space group = P2_1/c (14); D(E_F) = 0.0 states/eV/cell; calculated volume = 651.94 Å³/cell
1.0
8.704 0.000 0.000
0.000 8.649 0.000
-0.076 0.000 8.660
Cs H Pd
8 8 4
Direct
0.040 0.247 0.476
0.040 0.253 0.976
0.459 0.747 0.524
0.459 0.753 0.024
0.541 0.247 0.976
0.541 0.253 0.476
0.960 0.747 0.024
0.960 0.753 0.524
0.201 0.687 0.280
0.201 0.813 0.780
0.299 0.187 0.720
0.299 0.313 0.220
0.701 0.687 0.780
0.701 0.813 0.280
0.799 0.187 0.220
0.799 0.313 0.720
0.250 0.000 0.750
0.250 0.500 0.250
0.750 0.000 0.250
0.750 0.500 0.750